No. 1
Compound: La5Bi2Te2
Source: Alexandria
Functional: PBE-GGA
Structure: relaxed

Output
Distance to the lowest polymorph of the same formula, meV/atom: 0

Geometry as CIF:
```
data_La5Bi2Te2
_symmetry_space_group_name_H-M 'P 1'
_symmetry_Int_Tables_number 1
_symmetry_space_group_name_Hall 'P 1'
_cell_length_a 8.6310
_cell_length_b 8.5806
_cell_length_c 9.2560
_cell_angle_alpha 117.61
_cell_angle_beta 90.00
_cell_angle_gamma 90.00
loop_
_atom_site_label
_atom_site_type_symbol
_atom_site_fract_x
_atom_site_fract_y
_atom_site_fract_z
Bi1 Bi 0.3567 0.1432 0.0000
La1 La 0.6569 0.0218 0.7234
Bi2 Bi 0.8567 0.3568 0.0000
La2 La 0.3431 0.7016 0.7234
La3 La 0.1569 0.4782 0.2766
Bi3 Bi 0.1433 0.6432 0.0000
La4 La 0.5000 0.5000 0.0000
La5 La 0.0000 0.0000 0.0000
Te1 Te 0.0000 0.1969 0.3938
Te2 Te 0.5000 0.6969 0.3938
La6 La 0.1569 0.2016 0.7234
Te3 Te 0.5000 0.3031 0.6062
La7 La 0.6569 0.2984 0.2766
Te4 Te 0.0000 0.8031 0.6062
La8 La 0.3431 0.9782 0.2766
La9 La 0.8431 0.5218 0.7234
Bi4 Bi 0.6433 0.8568 0.0000
La10 La 0.8431 0.7984 0.2766
```

---

No. 2
Compound: LaBiTe2
Source: Alexandria
Functional: PBE-GGA
Structure: relaxed

Geometry as CIF:
```
data_LaBiTe2
_symmetry_space_group_name_H-M 'P 1'
_symmetry_Int_Tables_number 1
_symmetry_space_group_name_Hall 'P 1'
_cell_length_a 4.8364
_cell_length_b 4.8364
_cell_length_c 11.9666
_cell_angle_alpha 78.34
_cell_angle_beta 78.34
_cell_angle_gamma 90.00
loop_
_atom_site_label
_atom_site_type_symbol
_atom_site_fract_x
_atom_site_fract_y
_atom_site_fract_z
La1 La 0.2500 0.7500 0.5000
Bi1 Bi 0.0000 0.0000 0.0000
Te1 Te 0.3750 0.3837 0.7500
Bi2 Bi 0.7500 0.2500 0.5000
Te2 Te 0.6163 0.1250 0.2500
Te3 Te 0.8750 0.8663 0.7500
La2 La 0.5000 0.5000 0.0000
Te4 Te 0.1337 0.6250 0.2500
```

---

No. 3
Compound: LaBi3Te6
Source: Alexandria
Functional: PBE-GGA
Structure: relaxed

Geometry as CIF:
```
data_LaBi3Te6
_symmetry_space_group_name_H-M 'P 1'
_symmetry_Int_Tables_number 1
_symmetry_space_group_name_Hall 'P 1'
_cell_length_a 4.4535
_cell_length_b 13.3222
_cell_length_c 13.2411
_cell_angle_alpha 110.18
_cell_angle_beta 90.00
_cell_angle_gamma 90.00
loop_
_atom_site_label
_atom_site_type_symbol
_atom_site_fract_x
_atom_site_fract_y
_atom_site_fract_z
Te1 Te 0.2500 0.2474 0.7425
Te2 Te 0.7500 0.3918 0.0672
La1 La 0.7500 0.0423 0.6958
Te3 Te 0.7500 0.9233 0.1020
Bi1 Bi 0.2500 0.8503 0.8971
Te4 Te 0.7500 0.4692 0.6193
Te5 Te 0.7500 0.1050 0.4717
Te6 Te 0.2500 0.8950 0.5283
La2 La 0.2500 0.9577 0.3042
Bi2 Bi 0.7500 0.7003 0.4604
Te7 Te 0.2500 0.6082 0.9328
Te8 Te 0.7500 0.7526 0.2575
Bi3 Bi 0.2500 0.5550 0.1587
Te9 Te 0.2500 0.1974 0.2665
Bi4 Bi 0.2500 0.2997 0.5396
Bi5 Bi 0.7500 0.1497 0.1029
Te10 Te 0.2500 0.5308 0.3807
Te11 Te 0.7500 0.8026 0.7335
Te12 Te 0.2500 0.0767 0.8980
Bi6 Bi 0.7500 0.4450 0.8413
```

---

No. 4
Compound: La2Bi2Te
Source: Alexandria
Functional: PBE-GGA
Structure: relaxed

Output
Distance to the lowest polymorph of the same formula, meV/atom: 211

Geometry as CIF:
```
data_La2Bi2Te
_symmetry_space_group_name_H-M 'P 1'
_symmetry_Int_Tables_number 1
_symmetry_space_group_name_Hall 'P 1'
_cell_length_a 8.8251
_cell_length_b 8.8251
_cell_length_c 4.3660
_cell_angle_alpha 90.00
_cell_angle_beta 90.00
_cell_angle_gamma 90.00
loop_
_atom_site_label
_atom_site_type_symbol
_atom_site_fract_x
_atom_site_fract_y
_atom_site_fract_z
Te1 Te 0.5000 0.5000 0.0000
Bi1 Bi 0.1412 0.3588 0.0000
Bi2 Bi 0.8588 0.6412 0.0000
Bi3 Bi 0.3588 0.8588 0.0000
Bi4 Bi 0.6412 0.1412 0.0000
La1 La 0.1634 0.6634 0.5000
La2 La 0.6634 0.8366 0.5000
La3 La 0.8366 0.3366 0.5000
Te2 Te 0.0000 0.0000 0.0000
La4 La 0.3366 0.1634 0.5000
```

---

No. 5
Compound: LaBiTe3
Source: Alexandria
Functional: PBE-GGA
Structure: relaxed

Output
Distance to the lowest polymorph of the same formula, meV/atom: 558

Geometry as CIF:
```
data_LaBiTe3
_symmetry_space_group_name_H-M 'P 1'
_symmetry_Int_Tables_number 1
_symmetry_space_group_name_Hall 'P 1'
_cell_length_a 5.8217
_cell_length_b 5.8217
_cell_length_c 5.8217
_cell_angle_alpha 90.00
_cell_angle_beta 90.00
_cell_angle_gamma 90.00
loop_
_atom_site_label
_atom_site_type_symbol
_atom_site_fract_x
_atom_site_fract_y
_atom_site_fract_z
Te1 Te 0.0000 0.5000 0.0000
Te2 Te 0.5000 0.0000 0.0000
La1 La 0.5000 0.5000 0.5000
Te3 Te 0.0000 0.0000 0.5000
Bi1 Bi 0.0000 0.0000 0.0000
```

---

No. 6
Compound: La4BiTe3
Source: Alexandria
Functional: PBE-GGA
Structure: relaxed

Geometry as CIF:
```
data_La4BiTe3
_symmetry_space_group_name_H-M 'P 1'
_symmetry_Int_Tables_number 1
_symmetry_space_group_name_Hall 'P 1'
_cell_length_a 4.6083
_cell_length_b 7.9921
_cell_length_c 7.9921
_cell_angle_alpha 109.34
_cell_angle_beta 90.00
_cell_angle_gamma 90.00
loop_
_atom_site_label
_atom_site_type_symbol
_atom_site_fract_x
_atom_site_fract_y
_atom_site_fract_z
La1 La 0.5000 0.2510 0.7490
La2 La 0.5000 0.7490 0.2510
Te1 Te 0.0000 0.0000 0.5000
Bi1 Bi 0.5000 0.0000 0.0000
La3 La 0.0000 0.2516 0.2516
Te2 Te 0.0000 0.5000 0.0000
La4 La 0.0000 0.7484 0.7484
Te3 Te 0.5000 0.5000 0.5000
```

---

No. 7
Compound: La3BiTe3
Source: Alexandria
Functional: PBE-GGA
Structure: relaxed

Geometry as CIF:
```
data_La3BiTe3
_symmetry_space_group_name_H-M 'P 1'
_symmetry_Int_Tables_number 1
_symmetry_space_group_name_Hall 'P 1'
_cell_length_a 9.5998
_cell_length_b 9.5998
_cell_length_c 8.5593
_cell_angle_alpha 55.89
_cell_angle_beta 55.89
_cell_angle_gamma 60.00
loop_
_atom_site_label
_atom_site_type_symbol
_atom_site_fract_x
_atom_site_fract_y
_atom_site_fract_z
Te1 Te 0.6399 0.1868 0.2740
Te2 Te 0.1868 0.8992 0.2740
La1 La 0.0656 0.7074 0.7641
Te3 Te 0.1008 0.3601 0.7260
La2 La 0.5371 0.9344 0.2359
La3 La 0.2926 0.5371 0.2359
La4 La 0.9344 0.2926 0.2359
Te4 Te 0.8992 0.6399 0.2740
La5 La 0.4629 0.0656 0.7641
Bi1 Bi 0.6609 0.6609 0.0173
Te5 Te 0.8132 0.1008 0.7260
Bi2 Bi 0.3391 0.3391 0.9827
La6 La 0.7074 0.4629 0.7641
Te6 Te 0.3601 0.8132 0.7260
```

---

No. 8
Compound: LaThBiTe
Source: Alexandria
Functional: PBE-GGA
Structure: relaxed

Output
Distance to the lowest polymorph of the same formula, meV/atom: 0

Geometry as CIF:
```
data_LaThBiTe
_symmetry_space_group_name_H-M 'P 1'
_symmetry_Int_Tables_number 1
_symmetry_space_group_name_Hall 'P 1'
_cell_length_a 4.3993
_cell_length_b 4.3993
_cell_length_c 8.5736
_cell_angle_alpha 90.00
_cell_angle_beta 104.86
_cell_angle_gamma 119.99
loop_
_atom_site_label
_atom_site_type_symbol
_atom_site_fract_x
_atom_site_fract_y
_atom_site_fract_z
La1 La 0.1302 0.9631 0.1086
Bi1 Bi 0.3023 0.5490 0.8666
Th1 Th 0.4734 0.1346 0.6234
Te1 Te 0.9719 0.3841 0.3710
```

---

No. 9
Compound: LaThBiTe
Source: Alexandria
Functional: PBE-GGA
Structure: relaxed

Output
Distance to the lowest polymorph of the same formula, meV/atom: 54

Geometry as CIF:
```
data_LaThBiTe
_symmetry_space_group_name_H-M 'P 1'
_symmetry_Int_Tables_number 1
_symmetry_space_group_name_Hall 'P 1'
_cell_length_a 5.5684
_cell_length_b 5.5684
_cell_length_c 5.5684
_cell_angle_alpha 60.00
_cell_angle_beta 60.00
_cell_angle_gamma 60.00
loop_
_atom_site_label
_atom_site_type_symbol
_atom_site_fract_x
_atom_site_fract_y
_atom_site_fract_z
Te1 Te 0.0000 0.0000 0.0000
La1 La 0.7500 0.7500 0.7500
Th1 Th 0.2500 0.2500 0.2500
Bi1 Bi 0.5000 0.5000 0.5000
```

---

No. 10
Compound: La2TiBiTe
Source: Alexandria
Functional: PBE-GGA
Structure: relaxed

Geometry as CIF:
```
data_La2TiBiTe
_symmetry_space_group_name_H-M 'P 1'
_symmetry_Int_Tables_number 1
_symmetry_space_group_name_Hall 'P 1'
_cell_length_a 5.9797
_cell_length_b 5.0208
_cell_length_c 5.9797
_cell_angle_alpha 90.00
_cell_angle_beta 90.00
_cell_angle_gamma 90.00
loop_
_atom_site_label
_atom_site_type_symbol
_atom_site_fract_x
_atom_site_fract_y
_atom_site_fract_z
Bi1 Bi 0.5000 0.5000 0.5000
Ti1 Ti 0.0000 0.5000 0.0000
La1 La 0.5000 0.0000 0.0000
Te1 Te 0.0000 0.0000 0.0000
La2 La 0.0000 0.0000 0.5000
```

---

Number 1: spin magnetization 0.00 μB/cell, E_tot -48.95 eV/f.u.. Number 2: spin magnetization 0.00 μB/cell, E_tot -17.47 eV/f.u.. Number 3: spin magnetization 0.00 μB/cell, E_tot -41.02 eV/f.u.. Number 4: spin magnetization 0.00 μB/cell, E_tot -24.62 eV/f.u.. Number 5: spin magnetization 0.00 μB/cell, E_tot -19.43 eV/f.u.. Number 6: spin magnetization 0.00 μB/cell, E_tot -44.79 eV/f.u.. Number 7: spin magnetization 0.00 μB/cell, E_tot -37.72 eV/f.u.. Number 8: spin magnetization 0.00 μB/cell, E_tot -23.45 eV/f.u.. Number 9: spin magnetization 0.26 μB/cell, E_tot -23.23 eV/f.u.. Number 10: spin magnetization 0.00 μB/cell, E_tot -25.54 eV/f.u..